Compound: BaMg9Ag2
Source: the Alexandria database
Functional: PBE-GGA
Structure: relaxed

The structure in extended XYZ format:
```
24
Lattice="-6.089 6.089 3.922 6.089 -6.089 3.922 6.089 6.089 -3.922" Properties=species:S:1:pos:R:3 pbc="T T T"
Ba 6.089 3.044 0.981
Ba 0.000 3.044 2.942
Mg 6.089 -3.044 2.942
Mg 4.585 -0.587 1.494
Mg 7.593 -0.587 1.494
Mg 2.457 1.540 0.467
Mg 9.721 1.540 0.467
Mg 4.585 5.502 -1.494
Mg 1.504 -0.587 2.428
Mg 2.457 4.549 0.467
Mg 3.632 -1.540 4.390
Mg 2.457 7.629 -0.467
Mg 3.632 1.540 3.455
Mg 4.585 6.676 1.494
Mg 1.504 0.587 5.416
Mg -3.632 4.549 3.455
Mg 3.632 4.549 3.455
Mg -1.504 6.676 2.428
Mg 1.504 6.676 2.428
Mg 0.000 9.133 0.981
Ag 0.000 0.000 0.000
Ag 3.044 3.044 -1.961
Ag 3.044 -3.044 1.961
Ag 0.000 6.089 0.000
```

Computed properties:
The value obtained for the calculated density is 3.26 Mg/m³. The formation energy from the elements is -152 meV per atom.